Record 1
Here is a geometry-optimized Ca2ZrHg2 structure from Alexandria. Energies are from PBE.

a = 8.2057 Å, b = 8.2057 Å, c = 4.0395 Å
α = 90.00°, β = 90.00°, γ = 90.00°
Last column: nearest neighbours and their distance in Å.
Fractional positions:
Ca: 0.1605 0.3395 0.0000  6 Hg 3.04-3.22
Ca: 0.3395 0.8395 0.0000  6 Hg 3.04-3.22
Ca: 0.6605 0.1605 0.0000  6 Hg 3.04-3.22
Ca: 0.8395 0.6605 0.0000  6 Hg 3.04-3.22
Zr: 0.0000 0.0000 0.5000  4 Hg 3.15
Zr: 0.5000 0.5000 0.5000  4 Hg 3.15
Hg: 0.1441 0.6441 0.5000  6 Ca 3.04-3.22, 2 Zr 3.15, 1 Hg 3.34
Hg: 0.3559 0.1441 0.5000  6 Ca 3.04-3.22, 2 Zr 3.15, 1 Hg 3.34
Hg: 0.6441 0.8559 0.5000  6 Ca 3.04-3.22, 2 Zr 3.15, 1 Hg 3.34
Hg: 0.8559 0.3559 0.5000  6 Ca 3.04-3.22, 2 Zr 3.15, 1 Hg 3.34

Properties
Formation energy from the elements in eV per formula unit: -0.80
Calculated total energy in eV per cell: -27.90
V in Å³ per atom: 27.200
SG: P4/mbm, No. 127
Theoretical density in g cm⁻³: 7.0

Record 2
Here is a geometry-optimized GePAuN structure from Alexandria. Energies are from PBE.

a = 3.7739 Å, b = 3.1086 Å, c = 6.6401 Å
α = 90.00°, β = 105.77°, γ = 90.00°
Last column: nearest neighbours and their distance in Å.
Fractional positions:
Ge: 0.0000 0.0000 0.0000  2 N 1.83
P: 0.3884 0.0000 0.7658  2 Au 2.38, 2 Ge 2.41
Au: 0.2458 0.5000 0.4830  1 N 2.11
N: 0.0701 0.5000 0.1525  2 Ge 1.83

Properties
Formation energy without anion corrections in eV/atom: 0.26
Calculated total energy in eV per cell: -20.60
Energy above the lowest structure with this stoichiometry in eV per atom: 0.173
V in Å³ per atom: 18.742
SG: Pm, No. 6
Theoretical density in g cm⁻³: 7.0

Record 3
Here is a geometry-optimized BaLiAlGa structure from Alexandria. Energies are from PBE.

a = 5.1815 Å, b = 5.1815 Å, c = 5.1815 Å
α = 60.00°, β = 60.00°, γ = 60.00°
Last column: nearest neighbours and their distance in Å.
Fractional positions:
Ba: 0.0000 0.0000 0.0000  4 Li 3.17, 4 Ga 3.17
Li: 0.7500 0.7500 0.7500  4 Ba 3.17, 4 Al 3.17
Al: 0.5000 0.5000 0.5000  4 Li 3.17, 4 Ga 3.17
Ga: 0.2500 0.2500 0.2500  4 Ba 3.17, 4 Al 3.17

Properties
Formation energy from the elements in eV per formula unit: -0.48
Calculated total energy in eV per cell: -11.08
Energy above the lowest structure with this stoichiometry in eV per atom: 0.164
V in Å³ per atom: 24.592
SG: F-43m, No. 216
Theoretical density in g cm⁻³: 4.1

Record 4
Here is a geometry-optimized Th4OsPb2 structure from Alexandria. Energies are from PBE.

a = 6.3155 Å, b = 6.6800 Å, c = 10.0842 Å
α = 90.00°, β = 98.10°, γ = 90.00°
Last column: nearest neighbours and their distance in Å.
Fractional positions:
Th: 0.1572 0.2500 0.0931  1 Os 2.74
Th: 0.2537 0.5105 0.7327  1 Os 2.78
Th: 0.2537 0.9895 0.7327  1 Os 2.78
Th: 0.2960 0.7500 0.4001  1 Os 2.67
Th: 0.7040 0.2500 0.5999  1 Os 2.67
Th: 0.7463 0.0105 0.2673  1 Os 2.78
Th: 0.7463 0.4895 0.2673  1 Os 2.78
Th: 0.8428 0.7500 0.9069  1 Os 2.74
Os: 0.0316 0.7500 0.1692  4 Th 2.67-2.78, 1 Pb 2.81
Os: 0.9684 0.2500 0.8308  4 Th 2.67-2.78, 1 Pb 2.81
Pb: 0.1958 0.2500 0.4333  9 Th 3.40-3.73
Pb: 0.3911 0.7500 0.0332  1 Os 2.81
Pb: 0.6089 0.2500 0.9668  1 Os 2.81
Pb: 0.8042 0.7500 0.5667  9 Th 3.40-3.73

Properties
Formation energy from the elements in eV per formula unit: -1.37
Calculated total energy in eV per cell: -99.38
V in Å³ per atom: 30.084
SG: P2_1/m, No. 11
Theoretical density in g cm⁻³: 12.1

Record 5
Here is a geometry-optimized LaCe2Pr3As6 structure from Alexandria. Energies are from PBE.

a = 7.4290 Å, b = 7.4290 Å, c = 7.4275 Å
α = 99.60°, β = 99.60°, γ = 119.99°
Last column: nearest neighbours and their distance in Å.
Fractional positions:
La: 0.0000 0.0000 0.0000  6 As 3.05
Ce: 0.3329 0.6671 0.0000  6 As 2.99-3.00
Ce: 0.6671 0.3329 0.0000  6 As 2.99-3.00
Pr: 0.1655 0.8345 0.5000  6 As 3.03-3.07
Pr: 0.5000 0.5000 0.5000  6 As 3.02-3.07
Pr: 0.8345 0.1655 0.5000  6 As 3.03-3.07
As: 0.0818 0.4214 0.2449  2 Ce 2.99, 3 Pr 3.03-3.07, 1 La 3.05
As: 0.2582 0.2582 0.7554  2 Ce 3.00, 3 Pr 3.02-3.06, 1 La 3.05
As: 0.4214 0.0818 0.2449  2 Ce 2.99, 3 Pr 3.03-3.07, 1 La 3.05
As: 0.5786 0.9182 0.7551  2 Ce 2.99, 3 Pr 3.03-3.07, 1 La 3.05
As: 0.7418 0.7418 0.2446  2 Ce 3.00, 3 Pr 3.02-3.06, 1 La 3.05
As: 0.9182 0.5786 0.7551  2 Ce 2.99, 3 Pr 3.03-3.07, 1 La 3.05

Properties
Formation energy from the elements in eV per formula unit: -17.91
Calculated total energy in eV per cell: -76.94
V in Å³ per atom: 27.892
SG: C2/m, No. 12
Theoretical density in g cm⁻³: 6.4

Record 6
Here is a geometry-optimized CdTeI2 structure from Alexandria. Energies are from PBE.

a = 7.1922 Å, b = 7.1922 Å, c = 7.1922 Å
α = 105.57°, β = 105.57°, γ = 117.60°
Last column: nearest neighbours and their distance in Å.
Fractional positions:
Cd: 0.0000 0.0000 0.0000  4 I 2.94
Cd: 0.7500 0.2500 0.5000  4 I 2.94
Te: 0.2500 0.7500 0.5000  8 I 3.52-3.94, 2 Cd 3.73
Te: 0.5000 0.5000 0.0000  8 I 3.52-3.94, 2 Cd 3.73
I: 0.0748 0.6250 0.9498  2 Cd 2.94
I: 0.3750 0.3248 0.4498  2 Cd 2.94
I: 0.6752 0.1250 0.0502  2 Cd 2.94
I: 0.8750 0.9252 0.5502  2 Cd 2.94

Properties
Formation energy without anion corrections in eV/atom: 0.11
Calculated total energy in eV per cell: -13.43
Energy above the lowest structure with this stoichiometry in eV per atom: 0.000
V in Å³ per atom: 35.251
SG: I-42d, No. 122
Theoretical density in g cm⁻³: 5.8